Below is Sc12Ni6Pd after structural relaxation, with properties calculated at the PBE level.

Calculated values
mass density: 4.6 g cm⁻³
ΔH_f (0 K): -0.392 eV/atom
DOS at the Fermi energy: 30.97 states/eV/f.u.

Cell: 8.9688 8.9688 8.9688 Å, 90.00 90.00 90.00°
Closest atoms and distances in Å follow each position.
Space group Im-3 (No. 204)
Unique sites:
Sc 0.0000 0.1848 0.2946 (multiplicity 24)  3 Ni 2.46-2.75
Ni 0.0000 0.3667 0.5000 (multiplicity 12)  1 Ni 2.39, 2 Sc 2.46
Pd 0.0000 0.0000 0.0000 (multiplicity 2)  12 Sc 3.12

Below is Sc2NiPd8 after structural relaxation, with properties calculated at the PBE level.

Calculated values
mass density: 9.5 g cm⁻³
ΔH_f (0 K): -0.502 eV/atom
DOS at the Fermi energy: 7.92 states/eV/f.u.

Cell: 14.1188 4.1101 6.2770 Å, 90.00 107.02 90.00°
Closest atoms and distances in Å follow each position.
Space group C2/m (No. 12)
Unique sites:
Sc 0.2165 0.0000 0.1636 (multiplicity 4)  10 Pd 2.68-2.93
Ni 0.0000 0.5000 0.5000 (multiplicity 2)  12 Pd 2.64-2.90
Pd 0.0381 0.0000 0.2326 (multiplicity 4)  1 Sc 2.68, 7 Pd 2.76-2.82, 2 Ni 2.80
Pd 0.0948 0.5000 0.9422 (multiplicity 4)  1 Ni 2.71, 3 Sc 2.78-2.93, 8 Pd 2.78-3.01
Pd 0.1447 0.0000 0.6898 (multiplicity 4)  7 Pd 2.76-2.85, 3 Sc 2.80-2.85, 2 Ni 2.90
Pd 0.1709 0.5000 0.4083 (multiplicity 4)  1 Ni 2.64, 3 Sc 2.69-2.75, 6 Pd 2.78-2.85